# Pr3CuSnSe7 (GGA-PBEsol, optimized geometry)
# - formation energy from raw total energies (eV per atom) = -1.325
# - mass density (g/cm³) = 6.4
# - M_tot (μB per formula unit) = 0.00
# - crystal system = hexagonal
data_Pr3CuSnSe7
_symmetry_space_group_name_H-M 'P 63'
_symmetry_Int_Tables_number 173
_cell_length_a 10.5693
_cell_length_b 10.5693
_cell_length_c 6.1754
_cell_angle_alpha 90.00
_cell_angle_beta 90.00
_cell_angle_gamma 120.00
loop_
_symmetry_equiv_pos_as_xyz
'x,y,z'
'x-y,x,z+1/2'
'-y,x-y,z'
'-x,-y,z+1/2'
'-x+y,-x,z'
'y,-x+y,z+1/2'
loop_
_atom_site_label
_atom_site_type_symbol
_atom_site_fract_x
_atom_site_fract_y
_atom_site_fract_z
_atom_site_occupancy
Pr1 Pr 0.1346 0.7796 0.0000 1
Cu1 Cu 0.0000 0.0000 0.0265 1
Sn1 Sn 0.3333 0.6667 0.4212 1
Se1 Se 0.0827 0.5114 0.2483 1
Se2 Se 0.0986 0.8421 0.5183 1
Se3 Se 0.3333 0.6667 0.8247 1